Record 1
# LiErBiO

A geometry-optimized LiErBiO structure (PBE, Alexandria).

```
LiErBiO
1.0
4.253 0.000 0.000
0.000 4.487 0.000
0.000 0.000 4.682
Li Er Bi O
1 1 1 1
direct
0.000 0.000 0.000
0.500 0.500 0.000
0.500 0.000 0.500
0.000 0.500 0.000
```

Output
Space group ... Pmmm, No. 47
Magnetization ... 0.000 μB/cell
Final energy ... -5.260 eV/atom
Raw formation energy ... -1431 meV/atom

***

Record 2
# ReAuN2

A geometry-optimized ReAuN2 structure (PBE, Alexandria).

```
ReAuN2
1.0
1.457 0.841 6.639
-1.457 0.841 6.639
0.000 -1.682 6.639
Re Au N
1 1 2
direct
0.000 0.000 0.000
0.500 0.500 0.500
0.395 0.395 0.395
0.605 0.605 0.605
```

Output
Energy above the lowest structure with this stoichiometry ... 0 meV/atom
Space group ... R-3m, No. 166
Magnetization ... 0.000 μB/cell
Final energy ... -7.766 eV/atom
Raw formation energy ... 328 meV/atom

***

Record 3
# AlPtRh2

A geometry-optimized AlPtRh2 structure (PBE, Alexandria).

```
AlPtRh2
1.0
4.530 -1.403 0.000
4.530 1.403 0.000
-1.087 0.000 4.543
Al Pt Rh
1 1 2
direct
0.000 0.000 0.000
0.743 0.743 0.237
0.262 0.262 0.743
0.505 0.505 0.508
```

Output
Space group ... Cm, No. 8
Magnetization ... 0.000 μB/cell
Final energy ... -6.637 eV/atom
Energy of formation from the pure elements ... -516 meV per atom

***

Record 4
# YNb2AlIr

A geometry-optimized YNb2AlIr structure (PBE, Alexandria).

```
YNb2AlIr
1.0
4.668 0.000 0.000
0.000 4.668 0.000
0.000 0.000 5.130
Y Nb Al Ir
1 2 1 1
direct
0.000 0.000 0.000
0.000 0.500 0.500
0.500 0.000 0.500
0.000 0.000 0.500
0.500 0.500 0.000
```

Output
Space group ... P4/mmm, No. 123
Magnetization ... 0.000 μB/cell
Final energy ... -6.714 eV/atom
Energy of formation from the pure elements ... 1127 meV per atom

***

Record 5
# Y4Er15Th

A geometry-optimized Y4Er15Th structure (PBE, Alexandria).

```
Y4Er15Th
1.0
4.992 0.000 0.000
0.000 4.992 0.000
0.000 0.000 24.858
Y Er Th
4 15 1
direct
0.000 0.000 0.100
0.000 0.000 0.300
0.000 0.000 0.700
0.000 0.000 0.900
0.000 0.500 0.000
0.000 0.500 0.200
0.000 0.500 0.401
0.000 0.500 0.599
0.000 0.500 0.800
0.500 0.000 0.000
0.500 0.000 0.200
0.500 0.000 0.401
0.500 0.000 0.599
0.500 0.000 0.800
0.500 0.500 0.100
0.500 0.500 0.299
0.500 0.500 0.500
0.500 0.500 0.701
0.500 0.500 0.900
0.000 0.000 0.500
```

Output
Space group ... P4/mmm, No. 123
Magnetization ... 0.000 μB/cell
Final energy ... -5.059 eV/atom
Energy of formation from the pure elements ... 27 meV per atom

***

Record 6
# AcErSb2O8

A geometry-optimized AcErSb2O8 structure (PBE, Alexandria).

```
AcErSb2O8
1.0
-3.785 3.785 3.455
3.785 -3.785 3.455
3.785 3.785 -3.455
Ac Er Sb O
1 1 2 8
direct
0.000 0.000 0.000
0.750 0.250 0.500
0.250 0.750 0.500
0.500 0.500 0.000
0.055 0.378 0.323
0.055 0.731 0.677
0.129 0.323 0.806
0.269 0.945 0.323
0.516 0.323 0.194
0.622 0.945 0.677
0.677 0.484 0.806
0.677 0.871 0.194
```

Output
Space group ... I-4m2, No. 119
Magnetization ... 0.000 μB/cell
Final energy ... -6.933 eV/atom
Raw formation energy ... -2218 meV/atom

***

Record 7
# ZrCS2Cl

A geometry-optimized ZrCS2Cl structure (PBE, Alexandria).

```
ZrCS2Cl
1.0
5.001 0.000 0.000
0.000 5.001 0.000
0.000 0.000 5.013
Zr C S Cl
1 1 2 1
direct
0.000 0.000 0.000
0.500 0.500 0.500
0.000 0.500 0.000
0.500 0.000 0.000
0.000 0.000 0.500
```

Output
Energy above the lowest structure with this stoichiometry ... 147 meV/atom
Space group ... P4/mmm, No. 123
Magnetization ... 1.150 μB/cell
Final energy ... -4.906 eV/atom
Raw formation energy ... 669 meV/atom

***

Record 8
# HfZnGe

A geometry-optimized HfZnGe structure (PBE, Alexandria).

```
HfZnGe
1.0
-1.595 1.595 5.231
1.595 -1.595 5.231
1.595 1.595 -5.231
Hf Zn Ge
1 1 1
direct
0.000 0.000 0.000
0.325 0.325 0.000
0.681 0.681 0.000
```

Output
Space group ... I4mm, No. 107
Magnetization ... 0.000 μB/cell
Final energy ... -5.392 eV/atom
Energy of formation from the pure elements ... -110 meV per atom

***

Record 9
# Sc3SnMo

A geometry-optimized Sc3SnMo structure (PBE, Alexandria).

```
Sc3SnMo
1.0
5.020 0.000 0.000
0.000 5.020 0.000
0.000 0.000 5.020
Sc Sn Mo
3 1 1
direct
0.000 0.000 0.500
0.000 0.500 0.000
0.500 0.000 0.000
0.500 0.500 0.500
0.000 0.000 0.000
```

Output
Energy above the lowest structure with this stoichiometry ... 0 meV/atom
Space group ... Pm-3m, No. 221
Magnetization ... 0.000 μB/cell
Final energy ... -6.473 eV/atom
Energy of formation from the pure elements ... 293 meV per atom

***

Record 10
# PrSm2HoTm

A geometry-optimized PrSm2HoTm structure (PBE, Alexandria).

```
PrSm2HoTm
1.0
3.666 0.000 0.000
0.000 5.592 0.000
-0.015 0.000 8.561
Pr Sm Ho Tm
1 2 1 1
direct
0.000 0.000 0.000
0.001 0.500 0.321
0.999 0.500 0.679
0.500 0.500 0.000
0.500 0.000 0.500
```

Output
Space group ... P2/m, No. 10
Magnetization ... 0.000 μB/cell
Final energy ... -4.373 eV/atom
Energy of formation from the pure elements ... 280 meV per atom

***

Record 11
# Ac8Ge3Te4I

A geometry-optimized Ac8Ge3Te4I structure (PBE, Alexandria).

```
Ac8Ge3Te4I
1.0
4.688 2.707 7.754
-4.688 2.707 7.754
0.000 -5.414 7.754
Ac Ge Te I
8 3 4 1
direct
0.225 0.753 0.753
0.241 0.241 0.241
0.247 0.247 0.775
0.247 0.775 0.247
0.753 0.225 0.753
0.753 0.753 0.225
0.759 0.759 0.759
0.775 0.247 0.247
0.000 0.000 0.500
0.000 0.500 0.000
0.500 0.000 0.000
0.000 0.000 0.000
0.000 0.500 0.500
0.500 0.000 0.500
0.500 0.500 0.000
0.500 0.500 0.500
```

Output
Space group ... R-3m, No. 166
Magnetization ... 0.000 μB/cell
Final energy ... -5.040 eV/atom
Raw formation energy ... -1238 meV/atom

***

Record 12
# PuHf2Sc

A geometry-optimized PuHf2Sc structure (PBE, Alexandria).

```
PuHf2Sc
1.0
-1.607 5.129 2.824
1.607 -5.129 2.824
1.607 5.129 -2.824
Pu Hf Sc
1 2 1
direct
0.000 0.000 0.000
0.419 0.668 0.751
0.917 0.668 0.249
0.496 0.996 0.500
```

Output
Energy above the lowest structure with this stoichiometry ... 0 meV/atom
Space group ... Imm2, No. 44
Magnetization ... 5.383 μB/cell
Final energy ... -10.065 eV/atom
Energy of formation from the pure elements ... 77 meV per atom

***

Record 13
# Rh3WI

A geometry-optimized Rh3WI structure (PBE, Alexandria).

```
Rh3WI
1.0
4.785 0.000 0.000
0.000 4.785 0.000
0.000 0.000 4.785
Rh W I
3 1 1
direct
0.000 0.000 0.500
0.000 0.500 0.000
0.500 0.000 0.000
0.000 0.000 0.000
0.500 0.500 0.500
```

Output
Energy above the lowest structure with this stoichiometry ... 0 meV/atom
Space group ... Pm-3m, No. 221
Magnetization ... 0.000 μB/cell
Final energy ... -6.184 eV/atom
Raw formation energy ... 1128 meV/atom

***

Record 14
# Rb2Pt3

A geometry-optimized Rb2Pt3 structure (PBE, Alexandria).

```
Rb2Pt3
1.0
4.245 0.000 0.000
-2.122 3.676 0.000
0.000 0.000 10.925
Rb Pt
2 3
direct
0.333 0.667 0.289
0.667 0.333 0.711
0.000 0.000 0.500
0.333 0.667 0.986
0.667 0.333 0.014
```

Output
Space group ... P-3m1, No. 164
Magnetization ... 0.555 μB/cell
Final energy ... -3.518 eV/atom
Energy of formation from the pure elements ... 494 meV per atom

***

Record 15
# PmTm2HgC

A geometry-optimized PmTm2HgC structure (PBE, Alexandria).

```
PmTm2HgC
1.0
4.808 0.000 0.000
0.000 4.808 0.000
0.000 0.000 5.115
Pm Tm Hg C
1 2 1 1
direct
0.000 0.000 0.000
0.000 0.500 0.500
0.500 0.000 0.500
0.500 0.500 0.000
0.000 0.000 0.500
```

Output
Space group ... P4/mmm, No. 123
Magnetization ... 0.000 μB/cell
Final energy ... -5.000 eV/atom
Energy of formation from the pure elements ... -356 meV per atom

***

Record 16
# TmAl6S8

A geometry-optimized TmAl6S8 structure (PBE, Alexandria).

```
TmAl6S8
1.0
4.855 2.803 3.569
-4.855 2.803 3.569
0.000 -5.606 3.569
Tm Al S
1 6 8
direct
0.000 0.000 0.000
0.248 0.340 0.612
0.340 0.612 0.248
0.388 0.752 0.660
0.612 0.248 0.340
0.660 0.388 0.752
0.752 0.660 0.388
0.088 0.794 0.373
0.206 0.627 0.912
0.262 0.262 0.262
0.373 0.088 0.794
0.627 0.912 0.206
0.738 0.738 0.738
0.794 0.373 0.088
0.912 0.206 0.627
```

Output
Space group ... R-3, No. 148
Magnetization ... 0.213 μB/cell
Final energy ... -4.821 eV/atom
Raw formation energy ... -824 meV/atom

***

Record 17
# ZnCuSn2Br

A geometry-optimized ZnCuSn2Br structure (PBE, Alexandria).

```
ZnCuSn2Br
1.0
5.279 0.000 0.000
0.000 5.279 0.000
0.000 0.000 5.159
Zn Cu Sn Br
1 1 2 1
direct
0.000 0.000 0.000
0.500 0.500 0.500
0.000 0.500 0.000
0.500 0.000 0.000
0.000 0.000 0.500
```

Output
Space group ... P4/mmm, No. 123
Magnetization ... 0.000 μB/cell
Final energy ... -2.456 eV/atom
Raw formation energy ... 554 meV/atom

***

Record 18
# Ir8Au

A geometry-optimized Ir8Au structure (PBE, Alexandria).

```
Ir8Au
1.0
-4.148 4.148 1.948
4.148 -4.148 1.948
4.148 4.148 -1.948
Ir Au
8 1
direct
0.000 0.338 0.338
0.000 0.662 0.662
0.327 0.327 0.654
0.327 0.673 0.000
0.338 0.000 0.338
0.662 0.000 0.662
0.673 0.327 0.000
0.673 0.673 0.346
0.000 0.000 0.000
```

Output
Space group ... I4/mmm, No. 139
Magnetization ... 0.000 μB/cell
Final energy ... -8.088 eV/atom
Energy of formation from the pure elements ... 153 meV per atom

***

Record 19
# VTc3Hg

A geometry-optimized VTc3Hg structure (PBE, Alexandria).

```
VTc3Hg
1.0
5.003 0.000 0.000
0.000 5.003 0.000
0.000 0.000 5.003
V Tc Hg
1 3 1
direct
0.000 0.000 0.000
0.000 0.500 0.500
0.500 0.000 0.500
0.500 0.500 0.000
0.500 0.500 0.500
```

Output
Energy above the lowest structure with this stoichiometry ... 1437 meV/atom
Space group ... Pm-3m, No. 221
Magnetization ... 5.273 μB/cell
Final energy ... -5.471 eV/atom
Energy of formation from the pure elements ... 2633 meV per atom

***

Record 20
# KCu2Sb

A geometry-optimized KCu2Sb structure (PBE, Alexandria).

```
KCu2Sb
1.0
4.718 0.000 0.000
0.000 4.442 0.000
-1.113 0.000 5.481
K Cu Sb
1 2 1
direct
0.000 0.000 0.000
0.535 0.000 0.480
0.781 0.500 0.431
0.314 0.500 0.576
```

Output
Space group ... Pm, No. 6
Magnetization ... 0.000 μB/cell
Final energy ... -3.342 eV/atom
Raw formation energy ... 11 meV/atom

***

Record 21
# ZrTaGa2Sb

A geometry-optimized ZrTaGa2Sb structure (PBE, Alexandria).

```
ZrTaGa2Sb
1.0
4.923 0.000 0.000
0.000 4.923 0.000
0.000 0.000 5.261
Zr Ta Ga Sb
1 1 2 1
direct
0.000 0.000 0.000
0.500 0.500 0.500
0.000 0.500 0.500
0.500 0.000 0.500
0.500 0.500 0.000
```

Output
Space group ... P4/mmm, No. 123
Magnetization ... 1.249 μB/cell
Final energy ... -5.502 eV/atom
Raw formation energy ... 613 meV/atom

***

Record 22
# Sm8Y3Ho2

A geometry-optimized Sm8Y3Ho2 structure (PBE, Alexandria).

```
Sm8Y3Ho2
1.0
10.148 -3.854 0.000
10.148 3.854 0.000
-0.002 0.000 5.703
Sm Y Ho
8 3 2
direct
0.099 0.686 0.000
0.172 0.172 0.501
0.314 0.901 0.000
0.367 0.367 0.500
0.633 0.633 0.500
0.686 0.099 0.000
0.828 0.828 0.499
0.901 0.314 0.000
0.215 0.785 0.500
0.500 0.500 0.000
0.785 0.215 0.500
0.259 0.259 0.001
0.741 0.741 0.999
```

Output
Space group ... C2/m, No. 12
Magnetization ... 0.000 μB/cell
Final energy ... -4.887 eV/atom
Energy of formation from the pure elements ... 213 meV per atom

***

Record 23
# ScH2Pt

A geometry-optimized ScH2Pt structure (PBE, Alexandria).

```
ScH2Pt
1.0
1.864 1.076 3.835
-1.864 1.076 3.835
0.000 -2.153 3.835
Sc H Pt
1 2 1
direct
0.000 0.000 0.000
0.354 0.354 0.354
0.646 0.646 0.646
0.500 0.500 0.500
```

Output
Energy above the lowest structure with this stoichiometry ... 43 meV/atom
Space group ... R-3m, No. 166
Magnetization ... 0.000 μB/cell
Final energy ... -5.316 eV/atom

***

Record 24
# SrGdCuPt

A geometry-optimized SrGdCuPt structure (PBE, Alexandria).

```
SrGdCuPt
1.0
0.000 3.599 3.599
3.599 0.000 3.599
3.599 3.599 0.000
Sr Gd Cu Pt
1 1 1 1
direct
0.000 0.000 0.000
0.500 0.500 0.500
0.750 0.750 0.750
0.250 0.250 0.250
```

Output
Space group ... F-43m, No. 216
Magnetization ... 7.282 μB/cell
Final energy ... -6.967 eV/atom
Energy of formation from the pure elements ... -493 meV per atom

***

Record 25
# Nd2DyZr

A geometry-optimized Nd2DyZr structure (PBE, Alexandria).

```
Nd2DyZr
1.0
0.000 3.929 3.929
3.929 0.000 3.929
3.929 3.929 0.000
Nd Dy Zr
2 1 1
direct
0.250 0.250 0.250
0.750 0.750 0.750
0.000 0.000 0.000
0.500 0.500 0.500
```

Output
Energy above the lowest structure with this stoichiometry ... 94 meV/atom
Space group ... Fm-3m, No. 225
Magnetization ... 1.030 μB/cell
Final energy ... -5.451 eV/atom
Energy of formation from the pure elements ... 221 meV per atom

***

Record 26
# NbGe3B

A geometry-optimized NbGe3B structure (PBE, Alexandria).

```
NbGe3B
1.0
4.347 0.000 0.000
0.000 4.347 0.000
0.000 0.000 4.347
Nb Ge B
1 3 1
direct
0.000 0.000 0.000
0.000 0.500 0.500
0.500 0.000 0.500
0.500 0.500 0.000
0.500 0.500 0.500
```

Output
Space group ... Pm-3m, No. 221
Magnetization ... 0.000 μB/cell
Final energy ... -5.255 eV/atom
Energy of formation from the pure elements ... 865 meV per atom